Below is crystalline Li3U3InN8 at its relaxed geometry, with properties calculated at the GGA-PBE level.

**Symmetry**: No. 166
**VASP energy**: -8.04 eV/atom
**ΔE_f (raw)**: -0.773 eV per atom

```
data_Li3U3InN8
_cell_length_a 6.400
_cell_length_b 6.400
_cell_length_c 6.400
_cell_angle_alpha 64.82
_cell_angle_beta 64.82
_cell_angle_gamma 64.82
_space_group_name_H-M_alt 'P 1'
_space_group_IT_number 1
_space_group_name_Hall 'P 1'
loop_
_atom_site_label
_atom_site_fract_x
_atom_site_fract_y
_atom_site_fract_z
_atom_site_occupancy
Li1 0.000 0.500 0.500 1
Li2 0.500 0.000 0.500 1
Li3 0.500 0.500 0.000 1
U1 0.000 0.000 0.500 1
U2 0.000 0.500 0.000 1
U3 0.500 0.000 0.000 1
In1 0.500 0.500 0.500 1
N1 0.214 0.744 0.744 1
N2 0.237 0.237 0.237 1
N3 0.256 0.256 0.786 1
N4 0.256 0.786 0.256 1
N5 0.744 0.214 0.744 1
N6 0.744 0.744 0.214 1
N7 0.763 0.763 0.763 1
N8 0.786 0.256 0.256 1
```

=====

Below is crystalline LiInW2N at its relaxed geometry, with properties calculated at the GGA-PBE level.

**Fermi-level density of states**: 4.9 states/eV/f.u.
**Symmetry**: No. 123
**VASP energy**: -4.88 eV/atom
**ΔE_f (raw)**: 2.892 eV per atom

```
data_LiInW2N
_cell_length_a 5.277
_cell_length_b 5.277
_cell_length_c 4.104
_cell_angle_alpha 90.00
_cell_angle_beta 90.00
_cell_angle_gamma 90.00
_space_group_name_H-M_alt 'P 1'
_space_group_IT_number 1
_space_group_name_Hall 'P 1'
loop_
_atom_site_label
_atom_site_fract_x
_atom_site_fract_y
_atom_site_fract_z
_atom_site_occupancy
Li1 0.000 0.000 0.000 1
In1 0.500 0.500 0.500 1
W1 0.000 0.500 0.500 1
W2 0.500 0.000 0.500 1
N1 0.500 0.500 0.000 1
```

=====

Below is crystalline LiY2InN at its relaxed geometry, with properties calculated at the GGA-PBE level.

**Fermi-level density of states**: 3.1 states/eV/f.u.
**Symmetry**: No. 123
**VASP energy**: -5.98 eV/atom
**ΔE_f (raw)**: -0.801 eV per atom

```
data_LiY2InN
_cell_length_a 4.817
_cell_length_b 4.817
_cell_length_c 4.366
_cell_angle_alpha 90.00
_cell_angle_beta 90.00
_cell_angle_gamma 90.00
_space_group_name_H-M_alt 'P 1'
_space_group_IT_number 1
_space_group_name_Hall 'P 1'
loop_
_atom_site_label
_atom_site_fract_x
_atom_site_fract_y
_atom_site_fract_z
_atom_site_occupancy
Li1 0.000 0.000 0.000 1
Y1 0.000 0.500 0.500 1
Y2 0.500 0.000 0.500 1
In1 0.500 0.500 0.000 1
N1 0.000 0.000 0.500 1
```

=====

- What is the formula in the second record?
  LiInW2N